No. 1
DFT (PBE) results for an optimized crystal structure of PuPaCo2.

Properties
Polymorph energy (0 for the lowest one): 0.092 eV per atom
DFT formation energy: -0.103 eV per atom
VASP energy: -38.5 eV per formula unit

Lattice parameters (Å, degrees): 3.3101 3.3101 6.7350 90.00 90.00 90.00
Each line ends with the local moment (μB).
Element x y z (fractional)
Pa  0.5000  0.5000  0.0000  0.23
Co  0.0000  0.0000  0.7979  -0.17
Co  0.0000  0.0000  0.2021  -0.17
Pu  0.5000  0.5000  0.5000  5.31

***

No. 2
DFT (PBE) results for an optimized crystal structure of PuPaCo.

Properties
Polymorph energy (0 for the lowest one): 0.111 eV per atom
DFT formation energy: -0.005 eV per atom
VASP energy: -30.9 eV per formula unit

Lattice parameters (Å, degrees): 5.6492 5.6492 4.3177 67.53 67.53 76.83
Each line ends with the local moment (μB).
Element x y z (fractional)
Pa  0.6794  0.6794  0.5136  0.69
Pa  0.2736  0.2736  0.4194  0.52
Co  0.8825  0.2351  0.1344  -0.52
Co  0.2351  0.8825  0.1344  -0.52
Pu  0.6514  0.1265  0.8043  4.84
Pu  0.1265  0.6514  0.8043  4.84

***

No. 3
DFT (PBE) results for an optimized crystal structure of PuPaCo2.

Properties
Polymorph energy (0 for the lowest one): 0.121 eV per atom
DFT formation energy: -0.074 eV per atom
VASP energy: -38.3 eV per formula unit

Lattice parameters (Å, degrees): 4.2591 4.2591 5.2416 66.03 66.03 60.00
Each line ends with the local moment (μB).
Element x y z (fractional)
Pa  0.5000  0.5000  0.5000  0.33
Co  0.7261  0.7261  0.8216  -0.33
Co  0.2739  0.2739  0.1784  -0.33
Pu  0.0000  0.0000  0.0000  4.74

***

No. 4
DFT (PBE) results for an optimized crystal structure of PuPaCo.

Properties
Polymorph energy (0 for the lowest one): 0.108 eV per atom
DFT formation energy: -0.008 eV per atom
VASP energy: -31.0 eV per formula unit

Lattice parameters (Å, degrees): 3.5967 4.3475 4.3475 120.00 90.00 90.00
Each line ends with the local moment (μB).
Element x y z (fractional)
Pa  0.0167  0.0000  0.0000  0.39
Co  0.3125  0.3333  0.6667  0.09
Pu  0.6707  0.6667  0.3333  4.76

***

No. 5
DFT (PBE) results for an optimized crystal structure of PuPaCo2.

Properties
Polymorph energy (0 for the lowest one): 0.156 eV per atom
DFT formation energy: -0.039 eV per atom
VASP energy: -38.2 eV per formula unit

Lattice parameters (Å, degrees): 4.6665 4.6665 4.6665 60.00 60.00 60.00
Each line ends with the local moment (μB).
Element x y z (fractional)
Pa  0.0000  0.0000  0.0000  0.50
Co  0.2500  0.2500  0.2500  -0.51
Co  0.7500  0.7500  0.7500  -0.51
Pu  0.5000  0.5000  0.5000  5.01

***

No. 6
DFT (PBE) results for an optimized crystal structure of PuPa6Co.

Properties
DFT formation energy: 0.012 eV per atom
VASP energy: -78.3 eV per formula unit

Lattice parameters (Å, degrees): 6.4078 6.4570 5.9436 57.10 81.43 74.08
Element x y z (fractional)
Pu  0.0000  0.0000  0.0000
Pa  0.7521  0.4022  0.6637
Pa  0.7521  0.0658  0.3363
Pa  0.2479  0.9342  0.6637
Pa  0.2479  0.5978  0.3363
Pa  0.7652  0.7529  0.0000
Pa  0.2348  0.2471  0.0000
Co  0.5000  0.5000  0.0000

***

No. 7
DFT (PBE) results for an optimized crystal structure of PuPaCo.

Properties
Polymorph energy (0 for the lowest one): 0.000 eV per atom
DFT formation energy: -0.116 eV per atom
VASP energy: -31.3 eV per formula unit

Lattice parameters (Å, degrees): 3.3963 3.3963 5.6542 107.48 107.48 90.00
Each line ends with the local moment (μB).
Element x y z (fractional)
Pa  0.0256  0.0256  0.0512  0.25
Co  0.6442  0.6442  0.2884  0.05
Pu  0.3302  0.3302  0.6604  5.13

***

No. 8
DFT (PBE) results for an optimized crystal structure of PuPaCoRe.

Properties
DFT formation energy: 0.056 eV per atom
VASP energy: -43.2 eV per formula unit

Lattice parameters (Å, degrees): 4.7824 4.7824 4.7824 60.00 60.00 60.00
Each line ends with the local moment (μB).
Element x y z (fractional)
Re  0.0000  0.0000  0.0000  -0.43
Pa  0.2500  0.2500  0.2500  0.54
Co  0.5000  0.5000  0.5000  -1.02
Pu  0.7500  0.7500  0.7500  4.97

***

No. 9
DFT (PBE) results for an optimized crystal structure of PuPaCoRu.

Properties
DFT formation energy: -0.155 eV per atom
VASP energy: -40.8 eV per formula unit

Lattice parameters (Å, degrees): 4.7563 4.7563 4.7563 60.00 60.00 60.00
Each line ends with the local moment (μB).
Element x y z (fractional)
Ru  0.0000  0.0000  0.0000  -0.36
Pa  0.7500  0.7500  0.7500  0.61
Co  0.5000  0.5000  0.5000  -0.69
Pu  0.2500  0.2500  0.2500  5.06

***

No. 10
DFT (PBE) results for an optimized crystal structure of Pu2PaCoS5.

Properties
E_form (uncorrected): -1.4784 eV per atom
VASP energy: -79.2 eV per formula unit

Lattice parameters (Å, degrees): 3.7689 8.3816 11.7309 90.00 90.00 102.99
Each line ends with the local moment (μB).
Element x y z (fractional)
Pu  0.8944  0.7889  0.8500  5.20
Pu  0.1177  0.2353  0.6967  5.17
Pu  0.1056  0.2111  0.3500  5.20
Pu  0.8823  0.7647  0.1967  5.17
Pa  0.8207  0.6414  0.5228  0.47
Pa  0.1793  0.3586  0.0228  0.47
Co  0.5612  0.1223  0.9215  -1.06
Co  0.4388  0.8777  0.4215  -1.06
S  0.3448  0.6895  0.0198  -0.09
S  0.6881  0.3761  0.8541  -0.07
S  0.4989  0.9977  0.7543  -0.15
S  0.3072  0.6144  0.6901  -0.07
S  0.9830  0.9661  0.5146  -0.10
S  0.6552  0.3105  0.5198  -0.09
S  0.3119  0.6239  0.3541  -0.07
S  0.5011  0.0023  0.2543  -0.15
S  0.6928  0.3856  0.1901  -0.07
S  0.0170  0.0339  0.0146  -0.10

***

No. 11
DFT (PBE) results for an optimized crystal structure of PuPaCoTc.

Properties
DFT formation energy: -0.047 eV per atom
VASP energy: -41.5 eV per formula unit

Lattice parameters (Å, degrees): 4.7599 4.7599 4.7599 60.00 60.00 60.00
Each line ends with the local moment (μB).
Element x y z (fractional)
Pa  0.0000  0.0000  0.0000  0.51
Co  0.2500  0.2500  0.2500  -0.92
Tc  0.7500  0.7500  0.7500  -0.50
Pu  0.5000  0.5000  0.5000  4.96

***

No. 12
DFT (PBE) results for an optimized crystal structure of Rb3Pa3CoS8.

Properties
E_form (uncorrected): -1.2966 eV per atom
VASP energy: -91.0 eV per formula unit

Lattice parameters (Å, degrees): 7.8977 7.8785 9.1067 115.56 89.99 119.99
Each line ends with the local moment (μB).
Element x y z (fractional)
Rb  0.0000  0.0000  0.0000  0.00
Rb  0.0000  0.5000  0.0000  0.00
Rb  0.5000  0.5000  0.0000  0.00
Pa  0.5000  0.0000  0.5000  0.96
Pa  0.5000  0.5000  0.5000  0.96
Pa  0.0000  0.5000  0.5000  0.96
Co  0.0000  0.0000  0.5000  -2.04
S  0.2670  0.5343  0.3017  -0.03
S  0.7330  0.4657  0.6983  -0.03
S  0.7781  0.5561  0.3187  -0.05
S  0.2219  0.4439  0.6813  -0.05
S  0.7771  0.0408  0.3179  -0.05
S  0.2229  0.9592  0.6821  -0.05
S  0.2651  0.0410  0.3169  -0.05
S  0.7349  0.9590  0.6831  -0.05